1.
A geometry-optimized Rb3PbAu2Br9 structure. Source: the Alexandria database, functional PBE-GGA.

It has space group P-3m1 (No. 164), with a = 7.8882 Å, b = 7.8882 Å, c = 9.7433 Å, α = 90.00°, β = 90.00° and γ = 120.00°. The distinct sites, in fractional coordinates, are Rb at (0.0000, 0.0000, 0.0000), Rb at (0.3333, 0.6667, 0.6783), Pb at (0.0000, 0.0000, 0.5000), Au at (0.3333, 0.6667, 0.1522), Br at (0.0000, 0.5000, 0.0000) and Br at (0.1724, 0.3448, 0.3209).

The calculation puts the uncorrected energy at -2.794 eV per atom. As for the density of states at the Fermi level: 0.279 states/eV per atom. The calculation puts the volume at 35.00 Å³ per atom.

***

2.
A geometry-optimized RbPb2AuBr structure. Source: the Alexandria database, functional PBE-GGA.

It has space group P4/mmm (No. 123), with a = 5.7868 Å, b = 5.7868 Å, c = 6.2245 Å, α = 90.00°, β = 90.00° and γ = 90.00°. The distinct sites, in fractional coordinates, are Rb at (0.0000, 0.0000, 0.0000), Pb at (0.0000, 0.5000, 0.5000), Au at (0.5000, 0.5000, 0.0000) and Br at (0.0000, 0.0000, 0.5000).

The calculation puts the energy above the most stable polymorph in this dataset at 0.000 eV per atom. The calculation puts the uncorrected energy at -2.424 eV per atom. As for the density of states at the Fermi level: 1.044 states/eV per atom. The calculation puts the volume at 41.69 Å³ per atom.

***

3.
A geometry-optimized RbPb2AuBr8 structure. Source: the Alexandria database, functional PBE-GGA.

It has space group P-1 (No. 2), with a = 5.6391 Å, b = 8.4102 Å, c = 10.2657 Å, α = 73.48°, β = 75.44° and γ = 81.22°. The distinct sites, in fractional coordinates, are Rb at (0.0000, 0.0000, 0.0000), Pb at (0.1580, 0.7321, 0.5308), Au at (0.5000, 0.5000, 0.0000), Br at (0.2065, 0.0466, 0.3102), Br at (0.2111, 0.6695, 0.8554), Br at (0.2496, 0.3349, 0.5670) and Br at (0.4549, 0.7190, 0.1251).

The calculation puts the uncorrected energy at -2.876 eV per atom. The calculation puts the volume at 37.50 Å³ per atom.